1.
## Li2LaYCl8 (PBE)

Data for a geometry-optimized Li2LaYCl8 structure.

```
Li2LaYCl8
1.0
-4.805 -3.371 2.406
3.557 -0.695 5.173
-3.251 6.902 3.149
Y Cl La Li
1 8 1 2
Direct
0.000 0.000 0.000 Y
0.194 0.798 0.762 Cl
0.806 0.202 0.238 Cl
0.318 0.311 0.501 Cl
0.806 0.202 0.762 Cl
0.194 0.798 0.238 Cl
0.306 0.300 0.000 Cl
0.694 0.700 0.000 Cl
0.682 0.689 0.499 Cl
0.000 0.000 0.500 La
0.499 0.499 0.764 Li
0.501 0.501 0.236 Li
```

* calculated density: 2.64 g/cm3
* formation energy without anion corrections: -2.113 eV per atom
* N(E_F): 0.000 states/eV per atom
* total magnetic moment: 0.000 μB/atom



2.
## TbSm2Se2O2 (PBE)

Data for a geometry-optimized TbSm2Se2O2 structure.

```
TbSm2Se2O2
1.0
-3.643 2.332 0.187
-0.212 0.017 -4.324
-2.236 -7.692 2.246
Se O Tb Sm
2 2 1 2
Direct
0.818 0.818 0.636 Se
0.182 0.182 0.364 Se
0.000 0.500 0.000 O
0.500 0.000 0.000 O
0.000 0.000 0.000 Tb
0.373 0.373 0.746 Sm
0.627 0.627 0.254 Sm
```

* calculated density: 7.44 g/cm3
* formation energy without anion corrections: -2.300 eV per atom
* N(E_F): 0.434 states/eV per atom
* total magnetic moment: 0.000 μB/atom



3.
## RbSrMg6 (PBE)

Data for a geometry-optimized RbSrMg6 structure.

```
RbSrMg6
1.0
-5.328 -3.315 -3.750
5.307 -4.052 2.974
-2.981 -0.483 4.662
Mg Rb Sr
6 1 1
Direct
0.886 0.533 0.500 Mg
0.467 0.114 0.500 Mg
0.043 0.390 0.000 Mg
0.599 0.401 0.000 Mg
0.895 0.105 0.500 Mg
0.610 0.957 0.000 Mg
0.088 0.912 0.000 Rb
0.412 0.588 0.500 Sr
```

* polymorph energy (0 for the lowest one): 0.00 kcal/mol of atoms
* calculated density: 2.04 g/cm3
* DFT formation energy: 0.136 eV/atom
* N(E_F): 0.588 states/eV per atom
* total magnetic moment: 0.000 μB/atom



4.
## TbHoTmGa (PBE)

Data for a geometry-optimized TbHoTmGa structure.

```
TbHoTmGa
1.0
-0.184 -4.869 2.066
3.926 -1.704 3.113
-0.826 -0.644 5.188
Tb Ho Ga Tm
1 1 1 1
Direct
0.000 0.000 0.000 Tb
0.500 0.500 0.500 Ho
0.750 0.750 0.750 Ga
0.250 0.250 0.250 Tm
```

* calculated density: 8.91 g/cm3
* DFT formation energy: -0.091 eV/atom
* N(E_F): 1.623 states/eV per atom
* total magnetic moment: 0.108 μB/atom



5.
## TaCuS2N (PBE)

Data for a geometry-optimized TaCuS2N structure.

```
TaCuS2N
1.0
4.888 0.000 0.000
0.000 4.888 0.000
0.000 0.000 3.900
Ta N S Cu
1 1 2 1
Direct
0.000 0.000 0.000 Ta
0.000 0.000 0.500 N
0.000 0.500 0.000 S
0.500 0.000 0.000 S
0.500 0.500 0.500 Cu
```

* polymorph energy (0 for the lowest one): 0.00 kcal/mol of atoms
* calculated density: 5.75 g/cm3
* formation energy without anion corrections: 0.179 eV per atom
* N(E_F): 1.358 states/eV per atom
* total magnetic moment: 0.000 μB/atom



6.
## YCoSbTe2 (PBE)

Data for a geometry-optimized YCoSbTe2 structure.

```
YCoSbTe2
1.0
5.307 0.000 0.000
0.000 5.307 0.000
0.000 0.000 4.661
Te Co Sb Y
2 1 1 1
Direct
0.000 0.500 0.000 Te
0.500 0.000 0.000 Te
0.000 0.000 0.000 Co
0.000 0.000 0.500 Sb
0.500 0.500 0.500 Y
```

* polymorph energy (0 for the lowest one): 0.00 kcal/mol of atoms
* calculated density: 6.64 g/cm3
* formation energy without anion corrections: -0.164 eV per atom
* N(E_F): 0.541 states/eV per atom
* total magnetic moment: 0.000 μB/atom



7.
## ScSeBrO4 (PBE)

Data for a geometry-optimized ScSeBrO4 structure.

```
ScSeBrO4
1.0
-1.261 -5.414 -2.437
3.106 -4.456 2.709
-4.389 -2.363 4.164
Br O Sc Se
2 8 2 2
Direct
0.986 0.986 0.759 Br
0.014 0.014 0.241 Br
0.879 0.513 0.862 O
0.721 0.721 0.475 O
0.121 0.487 0.138 O
0.487 0.121 0.138 O
0.531 0.531 0.235 O
0.469 0.469 0.765 O
0.513 0.879 0.862 O
0.279 0.279 0.525 O
0.776 0.776 0.117 Sc
0.224 0.224 0.883 Sc
0.363 0.363 0.273 Se
0.637 0.637 0.727 Se
```

* calculated density: 4.13 g/cm3
* formation energy without anion corrections: -1.428 eV per atom
* total magnetic moment: 0.000 μB/atom



8.
## KAgCl3 (PBE)

Data for a geometry-optimized KAgCl3 structure.

```
KAgCl3
1.0
-1.158 1.946 -3.097
-6.446 -5.308 -0.923
0.052 7.123 4.455
K Cl Ag
1 3 1
Direct
0.500 0.092 0.908 K
0.000 0.238 0.762 Cl
0.500 0.221 0.342 Cl
0.500 0.658 0.779 Cl
0.000 0.419 0.581 Ag
```

* calculated density: 1.94 g/cm3
* formation energy without anion corrections: -0.833 eV per atom
* N(E_F): 0.879 states/eV per atom
* total magnetic moment: 0.176 μB/atom



9.
## Tl2HgAu (PBE)

Data for a geometry-optimized Tl2HgAu structure.

```
Tl2HgAu
1.0
-1.833 -1.734 4.690
-4.471 2.055 2.036
-4.433 -2.944 0.203
Au Tl Hg
1 2 1
Direct
0.000 0.000 0.000 Au
0.750 0.750 0.750 Tl
0.250 0.250 0.250 Tl
0.500 0.500 0.500 Hg
```

* polymorph energy (0 for the lowest one): 0.82 kcal/mol of atoms
* calculated density: 12.54 g/cm3
* DFT formation energy: 0.011 eV/atom
* N(E_F): 0.407 states/eV per atom
* total magnetic moment: 0.000 μB/atom



10.
## Pr3ErCd8 (PBE)

Data for a geometry-optimized Pr3ErCd8 structure.

```
Pr3ErCd8
1.0
-3.462 3.814 3.092
-1.747 -1.378 5.580
6.239 5.157 6.461
Pr Cd Er
3 8 1
Direct
0.375 0.375 0.874 Pr
0.999 0.999 0.002 Pr
0.500 0.500 0.500 Pr
0.187 0.187 0.438 Cd
0.688 0.688 0.937 Cd
0.938 0.440 0.685 Cd
0.437 0.936 0.190 Cd
0.936 0.437 0.190 Cd
0.440 0.938 0.685 Cd
0.437 0.437 0.190 Cd
0.938 0.938 0.685 Cd
0.875 0.875 0.374 Er
```

* calculated density: 8.11 g/cm3
* DFT formation energy: -0.287 eV/atom
* N(E_F): 0.706 states/eV per atom
* total magnetic moment: 0.000 μB/atom



11.
## CaNd2Zn4 (PBE)

Data for a geometry-optimized CaNd2Zn4 structure.

```
CaNd2Zn4
1.0
-2.146 -3.790 2.582
0.794 -4.796 -1.415
6.154 -3.230 5.339
Nd Zn Ca
2 4 1
Direct
0.247 0.247 0.258 Nd
0.753 0.753 0.742 Nd
0.875 0.875 0.375 Zn
0.621 0.621 0.138 Zn
0.125 0.125 0.625 Zn
0.379 0.379 0.862 Zn
0.000 0.000 0.000 Ca
```

* calculated density: 5.34 g/cm3
* DFT formation energy: -0.074 eV/atom
* N(E_F): 0.626 states/eV per atom
* total magnetic moment: 0.000 μB/atom



12.
## SiSb2Os (PBE)

Data for a geometry-optimized SiSb2Os structure.

```
SiSb2Os
1.0
4.778 0.000 0.000
2.389 4.138 0.000
2.389 1.379 3.901
Os Sb Si
1 2 1
Direct
0.500 0.500 0.500 Os
0.250 0.250 0.250 Sb
0.000 0.000 0.000 Sb
0.750 0.750 0.750 Si
```

* calculated density: 9.94 g/cm3
* formation energy without anion corrections: 0.793 eV per atom
* N(E_F): 0.960 states/eV per atom
* total magnetic moment: 0.000 μB/atom



13.
## Er2Th3Sc8 (PBE)

Data for a geometry-optimized Er2Th3Sc8 structure.

```
Er2Th3Sc8
1.0
5.698 0.000 0.026
0.000 10.814 0.000
-2.404 -5.407 5.797
Sc Th Er
8 3 2
Direct
0.767 0.569 0.137 Sc
0.683 0.924 0.353 Sc
0.934 0.837 0.675 Sc
0.233 0.431 0.863 Sc
0.317 0.076 0.647 Sc
0.683 0.429 0.353 Sc
0.066 0.163 0.325 Sc
0.317 0.571 0.647 Sc
0.500 0.000 0.000 Th
0.000 0.757 0.000 Th
0.000 0.243 0.000 Th
0.661 0.301 0.601 Er
0.339 0.699 0.399 Er
```

* calculated density: 6.45 g/cm3
* DFT formation energy: 0.170 eV/atom
* N(E_F): 1.718 states/eV per atom
* total magnetic moment: 0.000 μB/atom



14.
## AcYAs (PBE)

Data for a geometry-optimized AcYAs structure.

```
AcYAs
1.0
5.066 0.000 0.000
2.533 4.387 0.000
2.533 1.462 8.381
As Ac Y
2 2 2
Direct
0.759 0.759 0.722 As
0.241 0.241 0.278 As
0.624 0.624 0.127 Ac
0.376 0.376 0.873 Ac
0.126 0.126 0.623 Y
0.874 0.874 0.377 Y
```

* polymorph energy (0 for the lowest one): 0.00 kcal/mol of atoms
* calculated density: 6.97 g/cm3
* DFT formation energy: -0.706 eV/atom
* N(E_F): 0.997 states/eV per atom
* total magnetic moment: 0.001 μB/atom



15.
## LaTl4In (PBE)

Data for a geometry-optimized LaTl4In structure.

```
LaTl4In
1.0
0.000 4.511 4.511
4.511 0.000 4.511
4.511 4.511 0.000
La Tl In
1 4 1
Direct
0.000 0.000 0.000 La
0.375 0.874 0.375 Tl
0.874 0.375 0.375 Tl
0.375 0.375 0.375 Tl
0.375 0.375 0.874 Tl
0.750 0.750 0.750 In
```

* calculated density: 9.69 g/cm3
* DFT formation energy: -0.024 eV/atom
* N(E_F): 1.083 states/eV per atom
* total magnetic moment: 0.000 μB/atom



16.
## YTaP2O (PBE)

Data for a geometry-optimized YTaP2O structure.

```
YTaP2O
1.0
4.938 0.000 0.000
0.000 4.938 0.000
0.000 0.000 3.883
P Y O Ta
2 1 1 1
Direct
0.000 0.500 0.000 P
0.500 0.000 0.000 P
0.500 0.500 0.500 Y
0.000 0.000 0.500 O
0.000 0.000 0.000 Ta
```

* polymorph energy (0 for the lowest one): 0.00 kcal/mol of atoms
* calculated density: 6.10 g/cm3
* formation energy without anion corrections: -1.268 eV per atom
* N(E_F): 0.290 states/eV per atom
* total magnetic moment: 0.000 μB/atom



17.
## BiRh3Cl (PBE)

Data for a geometry-optimized BiRh3Cl structure.

```
BiRh3Cl
1.0
-3.004 -0.248 3.377
2.365 -3.385 1.855
2.424 2.995 2.376
Rh Cl Bi
3 1 1
Direct
0.000 0.500 0.000 Rh
0.000 0.000 0.500 Rh
0.500 0.000 0.000 Rh
0.000 0.000 0.000 Cl
0.500 0.500 0.500 Bi
```

* polymorph energy (0 for the lowest one): 0.00 kcal/mol of atoms
* calculated density: 9.90 g/cm3
* formation energy without anion corrections: 0.554 eV per atom
* N(E_F): 1.342 states/eV per atom
* total magnetic moment: 0.000 μB/atom



18.
## Er12Mg2In5 (PBE)

Data for a geometry-optimized Er12Mg2In5 structure.

```
Er12Mg2In5
1.0
-1.299 -1.553 9.384
7.194 -0.286 -3.962
1.958 8.056 1.604
Mg Er In
2 12 5
Direct
0.671 0.000 0.000 Mg
0.329 0.000 0.000 Mg
0.416 0.832 0.682 Er
0.965 0.291 0.211 Er
0.821 0.232 0.631 Er
0.903 0.806 0.139 Er
0.179 0.768 0.369 Er
0.097 0.194 0.861 Er
0.674 0.709 0.789 Er
0.035 0.709 0.789 Er
0.584 0.168 0.318 Er
0.589 0.768 0.369 Er
0.411 0.232 0.631 Er
0.326 0.291 0.211 Er
0.000 0.000 0.500 In
0.316 0.631 0.036 In
0.221 0.442 0.520 In
0.684 0.369 0.964 In
0.779 0.558 0.480 In
```

* calculated density: 8.11 g/cm3
* DFT formation energy: -0.134 eV/atom
* N(E_F): 1.177 states/eV per atom
* total magnetic moment: 0.000 μB/atom



19.
## CsHf3Au (PBE)

Data for a geometry-optimized CsHf3Au structure.

```
CsHf3Au
1.0
5.323 0.000 0.000
0.000 5.323 0.000
0.000 0.000 5.323
Au Cs Hf
1 1 3
Direct
0.000 0.000 0.000 Au
0.500 0.500 0.500 Cs
0.500 0.000 0.000 Hf
0.000 0.500 0.000 Hf
0.000 0.000 0.500 Hf
```

* polymorph energy (0 for the lowest one): 0.00 kcal/mol of atoms
* calculated density: 9.53 g/cm3
* DFT formation energy: 0.976 eV/atom
* N(E_F): 0.603 states/eV per atom
* total magnetic moment: 0.000 μB/atom



20.
## Ta3CdSn (PBE)

Data for a geometry-optimized Ta3CdSn structure.

```
Ta3CdSn
1.0
-0.860 -3.059 3.904
3.787 -2.963 -1.487
3.202 2.683 2.808
Ta Cd Sn
3 1 1
Direct
0.500 0.000 0.000 Ta
0.000 0.000 0.500 Ta
0.000 0.500 0.000 Ta
0.500 0.500 0.500 Cd
0.000 0.000 0.000 Sn
```

* polymorph energy (0 for the lowest one): 0.00 kcal/mol of atoms
* calculated density: 10.08 g/cm3
* DFT formation energy: 1.866 eV/atom
* N(E_F): 1.616 states/eV per atom
* total magnetic moment: 0.000 μB/atom